No. 1
ZrAgPt2 GGA-PBEsol relaxed; symmetry = I-4m2; formation enthalpy at 0 K = -0.730 eV/atom
1.0
-1.9624 1.9624 4.2500
1.9624 -1.9624 4.2500
1.9624 1.9624 -4.2500
Zr Ag Pt
1 1 2
direct
0.0000 0.0000 0.0000 Zr
0.7500 0.2500 0.5000 Ag
0.2500 0.7500 0.5000 Pt
0.5000 0.5000 0.0000 Pt



No. 2
ZrAgPt2 GGA-PBEsol relaxed; symmetry = F-43m; formation enthalpy at 0 K = -0.480 eV/atom
1.0
0.0000 3.2215 3.2215
3.2215 0.0000 3.2215
3.2215 3.2215 0.0000
Zr Ag Pt
1 1 2
direct
0.0000 0.0000 0.0000 Zr
0.7500 0.7500 0.7500 Ag
0.2500 0.2500 0.2500 Pt
0.5000 0.5000 0.5000 Pt



No. 3
ZrAgPt2 GGA-PBEsol relaxed; symmetry = Pmmm; formation enthalpy at 0 K = -0.724 eV/atom
1.0
3.3737 0.0000 0.0000
0.0000 3.4956 0.0000
0.0000 0.0000 5.6808
Zr Ag Pt
1 1 2
direct
0.0000 0.0000 0.0000 Zr
0.0000 0.0000 0.5000 Ag
0.5000 0.5000 0.2518 Pt
0.5000 0.5000 0.7482 Pt



No. 4
ZrAgPt4 GGA-PBEsol relaxed; symmetry = F-43m; formation enthalpy at 0 K = -0.572 eV/atom
1.0
0.0000 3.6849 3.6849
3.6849 0.0000 3.6849
3.6849 3.6849 0.0000
Zr Ag Pt
1 1 4
direct
0.0000 0.0000 0.0000 Zr
0.2500 0.2500 0.2500 Ag
0.1263 0.6246 0.6246 Pt
0.6246 0.1263 0.6246 Pt
0.6246 0.6246 0.1263 Pt
0.6246 0.6246 0.6246 Pt



No. 5
ZrAg2Pt GGA-PBEsol relaxed; symmetry = Cm; formation enthalpy at 0 K = -0.255 eV/atom
1.0
4.7194 -1.4664 0.0000
4.7194 1.4664 0.0000
-0.9541 0.0000 4.9629
Zr Ag Pt
1 2 1
direct
0.0000 0.0000 0.0000 Zr
0.2390 0.2390 0.7003 Ag
0.4887 0.4887 0.4897 Ag
0.7475 0.7475 0.2036 Pt



No. 6
ZrAgPt GGA-PBEsol relaxed; symmetry = F-43m; formation enthalpy at 0 K = -0.069 eV/atom; energy relative to the lowest polymorph listed for this composition = 3.58 kcal/mol of atoms
1.0
0.0000 3.1439 3.1439
3.1439 0.0000 3.1439
3.1439 3.1439 0.0000
Zr Ag Pt
1 1 1
direct
0.0000 0.0000 0.0000 Zr
0.7500 0.7500 0.7500 Ag
0.2500 0.2500 0.2500 Pt



No. 7
Zr2AgPt2 GGA-PBEsol relaxed; symmetry = P4/mbm; formation enthalpy at 0 K = -0.798 eV/atom
1.0
7.4949 0.0000 0.0000
0.0000 7.4949 0.0000
0.0000 0.0000 3.2902
Zr Ag Pt
4 2 4
direct
0.1689 0.3311 0.0000 Zr
0.3311 0.8311 0.0000 Zr
0.6689 0.1689 0.0000 Zr
0.8311 0.6689 0.0000 Zr
0.0000 0.0000 0.5000 Ag
0.5000 0.5000 0.5000 Ag
0.1316 0.6316 0.5000 Pt
0.3684 0.1316 0.5000 Pt
0.6316 0.8684 0.5000 Pt
0.8684 0.3684 0.5000 Pt



No. 8
ZrAgPt GGA-PBEsol relaxed; symmetry = P3m1; formation enthalpy at 0 K = -0.224 eV/atom; energy relative to the lowest polymorph listed for this composition = 0.00 kcal/mol of atoms
1.0
2.9354 0.0000 0.0000
-1.4677 2.5421 0.0000
0.0000 0.0000 7.0194
Zr Ag Pt
1 1 1
direct
0.0000 0.0000 0.0000 Zr
0.3333 0.6667 0.6473 Ag
0.6667 0.3333 0.3189 Pt



Calculated spin magnetization (μB per atom), listed in the same order as above: 0.00; 0.00; 0.00; 0.00; 0.00; 0.00; 0.00; 0.00
Calculated N(E_F) (states/eV/f.u.), listed in the same order as above: 1.001; 2.962; 1.069; 1.760; 2.279; 2.251; 3.782; 1.885